SrW3O after structural relaxation, computed with GGA+U.

Cell: 4.438 4.438 4.438 Å, 90.00 90.00 90.00°
Fractional positions:
O (0.000, 0.000, 0.000)
W (0.000, 0.500, 0.000)
Sr (0.500, 0.500, 0.500)
W (0.500, 0.000, 0.000)
W (0.000, 0.000, 0.500)

* magnetic moment: 0.0 μB/f.u.
* volume: 87.4 Å³ per cell
* calculated total energy: -4.345 eV per atom
* symmetry: Pm-3m, No. 221